{
  "formula": "SmSc4Bi5",
  "functional": "PBE",
  "state": "relaxed",
  "lattice_angstrom": [[4.2432, 0.0000, -0.8186], [-0.3169, 5.9179, -1.6427], [0.0057, -0.0207, 11.4358]],
  "species": ["Sm", "Sc", "Sc", "Sc", "Sc", "Bi", "Bi", "Bi", "Bi", "Bi"],
  "fractional_positions": [[0.0000, 0.0000, 0.0000], [0.4001, 0.4001, 0.8002], [0.7958, 0.7958, 0.5916], [0.2042, 0.2042, 0.4084], [0.5999, 0.5999, 0.1998], [0.6078, 0.1078, 0.2157], [0.8017, 0.3017, 0.6034], [0.1983, 0.6983, 0.3966], [0.0000, 0.5000, 0.0000], [0.3922, 0.8922, 0.7843]],
  "volume_a3_per_atom": 28.704,
  "e_form_ev_per_atom": -0.698
}

{
  "formula": "Sm3ScBi2",
  "functional": "PBE",
  "state": "relaxed",
  "lattice_angstrom": [[-3.0828, -1.7467, -2.8647], [3.1921, -2.7250, -1.7736], [-1.9761, -6.1329, 5.8661]],
  "species": ["Sm", "Sm", "Sm", "Sc", "Bi", "Bi"],
  "fractional_positions": [[0.5000, 0.0000, 0.3482], [0.0000, 0.5000, 0.6518], [0.0000, 0.0000, 0.0000], [0.5000, 0.5000, 0.0000], [0.5000, 0.0000, 0.7252], [0.0000, 0.5000, 0.2748]],
  "volume_a3_per_atom": 30.151,
  "e_form_ev_per_atom": -0.635
}

{
  "formula": "SmScBi",
  "functional": "PBE",
  "state": "relaxed",
  "lattice_angstrom": [[3.9694, 0.0000, 0.0000], [0.0000, 5.0425, 0.0000], [0.0000, -2.5212, 4.3669]],
  "species": ["Sc", "Bi", "Sm"],
  "fractional_positions": [[0.1371, 0.0000, 0.0000], [0.2103, 0.3333, 0.6667], [0.6526, 0.6667, 0.3333]],
  "volume_a3_per_atom": 29.136,
  "e_form_ev_per_atom": -0.318
}

{
  "formula": "Sm12Sc5Bi3",
  "functional": "PBE",
  "state": "relaxed",
  "lattice_angstrom": [[15.5958, 0.0000, 0.0000], [-5.1986, 14.7039, 0.0000], [-5.1986, -7.3519, 12.7339]],
  "species": ["Bi", "Bi", "Bi", "Bi", "Bi", "Bi", "Bi", "Bi", "Bi", "Bi", "Bi", "Bi", "Sc", "Sc", "Sc", "Sc", "Sc", "Sc", "Sc", "Sc", "Sc", "Sc", "Sc", "Sc", "Sc", "Sc", "Sc", "Sc", "Sc", "Sc", "Sc", "Sc", "Sm", "Sm", "Sm", "Sm", "Sm", "Sm", "Sm", "Sm", "Sm", "Sm", "Sm", "Sm", "Sm", "Sm", "Sm", "Sm", "Sm", "Sm", "Sm", "Sm", "Sm", "Sm", "Sm", "Sm", "Sm", "Sm", "Sm", "Sm", "Sm", "Sm", "Sm", "Sm", "Sm", "Sm", "Sm", "Sm", "Sm", "Sm", "Sm", "Sm", "Sm", "Sm", "Sm", "Sm", "Sm", "Sm", "Sm", "Sm"],
  "fractional_positions": [[0.7500, 0.3750, 0.1250], [0.8750, 0.7500, 0.1250], [0.3750, 0.7500, 0.6250], [0.2500, 0.1250, 0.3750], [0.8750, 0.1250, 0.2500], [0.3750, 0.6250, 0.2500], [0.6250, 0.3750, 0.7500], [0.1250, 0.8750, 0.7500], [0.7500, 0.8750, 0.6250], [0.6250, 0.2500, 0.3750], [0.1250, 0.2500, 0.8750], [0.2500, 0.6250, 0.8750], [0.1250, 0.3750, 0.2500], [0.0000, 0.5000, 0.0000], [0.0000, 0.0000, 0.0000], [0.3750, 0.2500, 0.1250], [0.5000, 0.0000, 0.5000], [0.5000, 0.5000, 0.0000], [0.1250, 0.7500, 0.3750], [0.7500, 0.1250, 0.8750], [0.7500, 0.6250, 0.3750], [0.3750, 0.1250, 0.7500], [0.6250, 0.8750, 0.2500], [0.5000, 0.5000, 0.5000], [0.5000, 0.0000, 0.0000], [0.0000, 0.0000, 0.5000], [0.2500, 0.3750, 0.6250], [0.2500, 0.8750, 0.1250], [0.0000, 0.5000, 0.5000], [0.8750, 0.2500, 0.6250], [0.6250, 0.7500, 0.8750], [0.8750, 0.6250, 0.7500], [0.7221, 0.1359, 0.0581], [0.3360, 0.5581, 0.4222], [0.9419, 0.3641, 0.2779], [0.5581, 0.2221, 0.1359], [0.5862, 0.7221, 0.6640], [0.9419, 0.5778, 0.1640], [0.3360, 0.7779, 0.4138], [0.0778, 0.9138, 0.1359], [0.5778, 0.9419, 0.6640], [0.7221, 0.5862, 0.1640], [0.7779, 0.4419, 0.3641], [0.8360, 0.9222, 0.0581], [0.1359, 0.7221, 0.5581], [0.3641, 0.4222, 0.0862], [0.0862, 0.9222, 0.3641], [0.4138, 0.1359, 0.5778], [0.0862, 0.1640, 0.2221], [0.4419, 0.6640, 0.0778], [0.8360, 0.9138, 0.2779], [0.1359, 0.4138, 0.0778], [0.3641, 0.9419, 0.7779], [0.5778, 0.6359, 0.4138], [0.9222, 0.8360, 0.5581], [0.7779, 0.3360, 0.9138], [0.4222, 0.3641, 0.5862], [0.0778, 0.1640, 0.4419], [0.2221, 0.6640, 0.0862], [0.1640, 0.0862, 0.7221], [0.6359, 0.0581, 0.2221], [0.8641, 0.5862, 0.9222], [0.5581, 0.3360, 0.9222], [0.5862, 0.8641, 0.4222], [0.9138, 0.8360, 0.7779], [0.9138, 0.0778, 0.6359], [0.8641, 0.2779, 0.4419], [0.1640, 0.0778, 0.9419], [0.6359, 0.5778, 0.9138], [0.4222, 0.0581, 0.3360], [0.2779, 0.4138, 0.8360], [0.2221, 0.5581, 0.6359], [0.9222, 0.0862, 0.8641], [0.6640, 0.2221, 0.5862], [0.4419, 0.7779, 0.8641], [0.0581, 0.4222, 0.8360], [0.4138, 0.2779, 0.3360], [0.0581, 0.6359, 0.7221], [0.6640, 0.4419, 0.5778], [0.2779, 0.8641, 0.9419]],
  "volume_a3_per_atom": 36.501,
  "e_form_ev_per_atom": 0.585
}

{
  "formula": "Sm4ScBi2",
  "functional": "PBE",
  "state": "relaxed",
  "lattice_angstrom": [[5.2234, 0.0000, 0.0000], [0.0000, 5.2234, 0.0000], [-2.6117, -2.6117, 8.5986]],
  "species": ["Sm", "Sm", "Sm", "Sm", "Sc", "Bi", "Bi"],
  "fractional_positions": [[0.8202, 0.8202, 0.6405], [0.1798, 0.1798, 0.3595], [0.0000, 0.5000, 0.0000], [0.5000, 0.0000, 0.0000], [0.0000, 0.0000, 0.0000], [0.6366, 0.6366, 0.2732], [0.3634, 0.3634, 0.7268]],
  "volume_a3_per_atom": 33.515,
  "e_form_ev_per_atom": 0.054
}

{
  "formula": "SmSc3Bi2",
  "functional": "PBE",
  "state": "relaxed",
  "lattice_angstrom": [[-0.4650, -1.2862, 4.1343], [4.2215, -8.2092, -4.3725], [4.8423, 7.1125, 2.7574]],
  "species": ["Sm", "Sm", "Sc", "Sc", "Sc", "Sc", "Sc", "Sc", "Bi", "Bi", "Bi", "Bi"],
  "fractional_positions": [[0.8886, 0.7771, 0.9023], [0.1114, 0.2229, 0.0977], [0.3085, 0.6170, 0.5123], [0.9332, 0.8664, 0.5410], [0.6403, 0.2807, 0.7914], [0.3597, 0.7193, 0.2086], [0.0668, 0.1336, 0.4590], [0.6915, 0.3830, 0.4877], [0.4875, 0.9751, 0.8018], [0.5125, 0.0249, 0.1982], [0.7533, 0.5066, 0.2182], [0.2467, 0.4934, 0.7817]],
  "volume_a3_per_atom": 27.229,
  "e_form_ev_per_atom": -0.457
}